Run w
The following is a DFT calculation (PBE+U) of a relaxed Mg14MnFeO16 crystal.

Values from the calculation:
Density of states at the Fermi level   0.0 states/eV per cell
Crystal system   orthorhombic

abc: 4.2730 8.5827 8.5828
angles: 90.00 90.00 90.00
With the nearest neighbours (Å) after each atom.
Sites, in units of the cell vectors:
1 Mg 0.0000 0.0000 0.0000  6 O 2.09-2.14
2 Mg 0.0000 0.0000 0.5000  6 O 2.08-2.15
3 Mg 0.0000 0.2489 0.2489  6 O 2.14-2.16
4 Mg 0.0000 0.2489 0.7511  6 O 2.14-2.16
5 Mg 0.0000 0.7511 0.2489  6 O 2.14-2.16
6 Mg 0.0000 0.7511 0.7511  6 O 2.14-2.16
7 Mg 0.5000 0.0000 0.2502  6 O 2.14-2.15
8 Mg 0.5000 0.0000 0.7498  6 O 2.14-2.15
9 Mg 0.5000 0.2475 0.0000  6 O 2.12-2.17
10 Mg 0.5000 0.2476 0.5000  6 O 2.13-2.17
11 Mg 0.5000 0.5000 0.2503  6 O 2.14-2.15
12 Mg 0.5000 0.5000 0.7497  6 O 2.14-2.15
13 Mg 0.5000 0.7524 0.5000  6 O 2.13-2.17
14 Mg 0.5000 0.7525 0.0000  6 O 2.12-2.17
15 Mn 0.0000 0.5000 0.5000  6 O 2.14-2.22
16 Fe 0.0000 0.5000 0.0000  6 O 2.13-2.20
17 O 0.0000 0.0000 0.2496  6 Mg 2.14-2.15
18 O 0.0000 0.0000 0.7504  6 Mg 2.14-2.15
19 O 0.0000 0.2419 0.5000  5 Mg 2.08-2.16, 1 Mn 2.22
20 O 0.0000 0.2432 0.0000  5 Mg 2.09-2.14, 1 Fe 2.20
21 O 0.0000 0.5000 0.2484  1 Fe 2.13, 4 Mg 2.14-2.15, 1 Mn 2.16
22 O 0.0000 0.5000 0.7516  1 Fe 2.13, 4 Mg 2.14-2.15, 1 Mn 2.16
23 O 0.0000 0.7568 0.0000  5 Mg 2.09-2.14, 1 Fe 2.20
24 O 0.0000 0.7581 0.5000  5 Mg 2.08-2.16, 1 Mn 2.22
25 O 0.5000 0.0000 0.0000  6 Mg 2.12-2.15
26 O 0.5000 0.0000 0.5000  6 Mg 2.13-2.14
27 O 0.5000 0.2509 0.2498  6 Mg 2.14-2.15
28 O 0.5000 0.2509 0.7502  6 Mg 2.14-2.15
29 O 0.5000 0.5000 0.0000  2 Fe 2.14, 4 Mg 2.15-2.17
30 O 0.5000 0.5000 0.5000  2 Mn 2.14, 4 Mg 2.14-2.17
31 O 0.5000 0.7491 0.2498  6 Mg 2.14-2.15
32 O 0.5000 0.7491 0.7502  6 Mg 2.14-2.15

---

Run x
The following is a DFT calculation (PBE+U) of a relaxed Mg14MnFeO16 crystal.

Values from the calculation:
Density of states at the Fermi level   3.1 states/eV per cell
Crystal system   tetragonal

abc: 8.5666 8.5666 4.2781
angles: 90.00 90.00 90.00
With the nearest neighbours (Å) after each atom.
Sites, in units of the cell vectors:
1 Mg 0.0000 0.2499 0.0000  6 O 2.14
2 Mg 0.0000 0.5000 0.5000  6 O 2.08-2.14
3 Mg 0.0000 0.7501 0.0000  6 O 2.14
4 Mg 0.2477 0.5000 0.0000  6 O 2.12-2.16
5 Mg 0.2499 0.0000 0.0000  6 O 2.14
6 Mg 0.2495 0.2495 0.5000  6 O 2.14-2.15
7 Mg 0.2495 0.7505 0.5000  6 O 2.14-2.15
8 Mg 0.5000 0.0000 0.5000  6 O 2.08-2.14
9 Mg 0.5000 0.2477 0.0000  6 O 2.12-2.16
10 Mg 0.5000 0.7523 0.0000  6 O 2.12-2.16
11 Mg 0.7501 0.0000 0.0000  6 O 2.14
12 Mg 0.7505 0.2495 0.5000  6 O 2.14-2.15
13 Mg 0.7505 0.7505 0.5000  6 O 2.14-2.15
14 Mg 0.7523 0.5000 0.0000  6 O 2.12-2.16
15 Mn 0.5000 0.5000 0.5000  6 O 2.14-2.20
16 Fe 0.0000 0.0000 0.5000  6 O 2.14-2.17
17 O 0.0000 0.0000 0.0000  2 Fe 2.14, 4 Mg 2.14
18 O 0.0000 0.2533 0.5000  5 Mg 2.11-2.14, 1 Fe 2.17
19 O 0.0000 0.5000 0.0000  6 Mg 2.12-2.14
20 O 0.0000 0.7467 0.5000  5 Mg 2.11-2.14, 1 Fe 2.17
21 O 0.2431 0.5000 0.5000  5 Mg 2.08-2.15, 1 Mn 2.20
22 O 0.2500 0.2500 0.0000  6 Mg 2.14
23 O 0.2500 0.7500 0.0000  6 Mg 2.14
24 O 0.2533 0.0000 0.5000  5 Mg 2.11-2.14, 1 Fe 2.17
25 O 0.5000 0.0000 0.0000  6 Mg 2.12-2.14
26 O 0.5000 0.2431 0.5000  5 Mg 2.08-2.15, 1 Mn 2.20
27 O 0.5000 0.5000 0.0000  2 Mn 2.14, 4 Mg 2.16
28 O 0.5000 0.7569 0.5000  5 Mg 2.08-2.15, 1 Mn 2.20
29 O 0.7467 0.0000 0.5000  5 Mg 2.11-2.14, 1 Fe 2.17
30 O 0.7500 0.2500 0.0000  6 Mg 2.14
31 O 0.7500 0.7500 0.0000  6 Mg 2.14
32 O 0.7569 0.5000 0.5000  5 Mg 2.08-2.15, 1 Mn 2.20

---

So which one is most stable? That would be run w, about 0.027 eV/atom below the next structure.

---

Run w
The following is a DFT calculation (PBE+U) of a relaxed Mg6MnFeO8 crystal.

Values from the calculation:
Crystal system   tetragonal

abc: 4.3270 4.3270 8.5714
angles: 90.00 90.00 90.00
With the nearest neighbours (Å) after each atom.
Sites, in units of the cell vectors:
1 Mg 0.0000 0.0000 0.0000  6 O 2.07-2.16
2 Mg 0.0000 0.5000 0.2480  6 O 2.13-2.16
3 Mg 0.0000 0.5000 0.7520  6 O 2.13-2.16
4 Mg 0.5000 0.0000 0.2480  6 O 2.13-2.16
5 Mg 0.5000 0.0000 0.7520  6 O 2.13-2.16
6 Mg 0.5000 0.5000 0.0000  6 O 2.12-2.16
7 Mn 0.0000 0.0000 0.5000  6 O 2.16-2.22
8 Fe 0.5000 0.5000 0.5000  6 O 2.16
9 O 0.0000 0.0000 0.2415  5 Mg 2.07-2.16, 1 Mn 2.22
10 O 0.0000 0.0000 0.7585  5 Mg 2.07-2.16, 1 Mn 2.22
11 O 0.0000 0.5000 0.0000  6 Mg 2.13-2.16
12 O 0.0000 0.5000 0.5000  2 Mg 2.16, 2 Fe 2.16, 2 Mn 2.16
13 O 0.5000 0.0000 0.0000  6 Mg 2.13-2.16
14 O 0.5000 0.0000 0.5000  2 Mg 2.16, 2 Fe 2.16, 2 Mn 2.16
15 O 0.5000 0.5000 0.2478  5 Mg 2.12-2.16, 1 Fe 2.16
16 O 0.5000 0.5000 0.7522  5 Mg 2.12-2.16, 1 Fe 2.16

---

Run x
The following is a DFT calculation (PBE+U) of a relaxed Mg6MnFeO8 crystal.

Values from the calculation:
Density of states at the Fermi level   3.2 states/eV per cell
Crystal system   tetragonal

abc: 4.2980 4.2980 8.6724
angles: 90.00 90.00 90.00
With the nearest neighbours (Å) after each atom.
Sites, in units of the cell vectors:
1 Mg 0.0000 0.0000 0.0000  6 O 2.15-2.16
2 Mg 0.0000 0.0000 0.5000  6 O 2.15-2.17
3 Mg 0.0000 0.5000 0.2490  6 O 2.15-2.18
4 Mg 0.0000 0.5000 0.7510  6 O 2.15-2.18
5 Mg 0.5000 0.0000 0.2490  6 O 2.15-2.18
6 Mg 0.5000 0.0000 0.7510  6 O 2.15-2.18
7 Mn 0.5000 0.5000 0.5000  6 O 2.15-2.18
8 Fe 0.5000 0.5000 0.0000  6 O 2.15
9 O 0.0000 0.0000 0.2493  6 Mg 2.15-2.17
10 O 0.0000 0.0000 0.7507  6 Mg 2.15-2.17
11 O 0.0000 0.5000 0.0000  2 Fe 2.15, 4 Mg 2.15-2.16
12 O 0.0000 0.5000 0.5000  2 Mn 2.15, 4 Mg 2.15-2.18
13 O 0.5000 0.0000 0.0000  2 Fe 2.15, 4 Mg 2.15-2.16
14 O 0.5000 0.0000 0.5000  2 Mn 2.15, 4 Mg 2.15-2.18
15 O 0.5000 0.5000 0.2482  4 Mg 2.15, 1 Fe 2.15, 1 Mn 2.18
16 O 0.5000 0.5000 0.7518  4 Mg 2.15, 1 Fe 2.15, 1 Mn 2.18

---

So which one is most stable? That would be run w, about 0.061 eV/atom below the next structure.